# 1
A plane-wave DFT calculation with GGA-PBE was carried out for CdHgGe2 after structural relaxation.

It has space group F-43m (No. 216), with a = 7.0729 Å, b = 7.0729 Å, c = 7.0729 Å, α = 90.00°, β = 90.00° and γ = 90.00°. The asymmetric unit holds Cd at (0.0000, 0.0000, 0.0000), Hg at (0.2500, 0.2500, 0.7500), Ge at (0.0000, 0.0000, 0.5000) and Ge at (0.2500, 0.2500, 0.2500).

The density is 8603 kg/m3. The total energy comes out at -2.354 eV per atom.

=====

# 2
A plane-wave DFT calculation with GGA-PBE was carried out for Li4Cd2HgGe after structural relaxation.

It has space group P-4m2 (No. 115), with a = 4.5228 Å, b = 4.5228 Å, c = 6.8642 Å, α = 90.00°, β = 90.00° and γ = 90.00°. The asymmetric unit holds Li at (0.0000, 0.0000, 0.0000), Li at (0.0000, 0.5000, 0.2384), Li at (0.5000, 0.5000, 0.5000), Cd at (0.0000, 0.5000, 0.7592), Hg at (0.0000, 0.0000, 0.5000) and Ge at (0.5000, 0.5000, 0.0000).

The density is 6218 kg/m3. The total energy comes out at -2.101 eV per atom.

=====

# 3
A plane-wave DFT calculation with GGA-PBE was carried out for CdNiHgGe after structural relaxation.

It has space group F-43m (No. 216), with a = 6.6625 Å, b = 6.6625 Å, c = 6.6625 Å, α = 90.00°, β = 90.00° and γ = 90.00°. The asymmetric unit holds Cd at (0.0000, 0.0000, 0.0000), Ni at (0.2500, 0.2500, 0.7500), Hg at (0.2500, 0.2500, 0.2500) and Ge at (0.0000, 0.0000, 0.5000).

The density is 9979 kg/m3. The total energy comes out at -2.528 eV per atom.

=====

# 4
A plane-wave DFT calculation with GGA-PBE was carried out for HoCdGe after structural relaxation.

It has space group F-43m (No. 216), with a = 6.6551 Å, b = 6.6551 Å, c = 6.6551 Å, α = 90.00°, β = 90.00° and γ = 90.00°. The asymmetric unit holds Ho at (0.0000, 0.0000, 0.0000), Cd at (0.2500, 0.2500, 0.7500) and Ge at (0.0000, 0.0000, 0.5000).

The density is 7887 kg/m3. The total energy comes out at -3.476 eV per atom.

=====

# 5
A plane-wave DFT calculation with GGA-PBE was carried out for Cd2Ge3I3 after structural relaxation.

It has space group R-3m (No. 166, hexagonal axes), with a = 5.8409 Å, b = 5.8409 Å, c = 22.6656 Å, α = 90.00°, β = 90.00° and γ = 120.00°. The asymmetric unit holds Cd at (0.0000, 0.0000, 0.2212), Ge at (0.0000, 0.5000, 0.0000), I at (0.0000, 0.0000, 0.0910) and I at (0.0000, 0.0000, 0.5000).

The density is 6126 kg/m3. The total energy comes out at -2.319 eV per atom.

=====

# 6
A plane-wave DFT calculation with GGA-PBE was carried out for CdInGe2 after structural relaxation.

It has space group F-43m (No. 216), with a = 7.1007 Å, b = 7.1007 Å, c = 7.1007 Å, α = 90.00°, β = 90.00° and γ = 90.00°. The asymmetric unit holds Cd at (0.0000, 0.0000, 0.0000), In at (0.2500, 0.2500, 0.7500), Ge at (0.0000, 0.0000, 0.5000) and Ge at (0.2500, 0.2500, 0.2500).

The density is 6911 kg/m3. The total energy comes out at -2.981 eV per atom.

=====

# 7
A plane-wave DFT calculation with GGA-PBE was carried out for Li4Cd2InGe after structural relaxation.

It has space group P-4m2 (No. 115), with a = 4.6300 Å, b = 4.6300 Å, c = 6.6698 Å, α = 90.00°, β = 90.00° and γ = 90.00°. The asymmetric unit holds Li at (0.0000, 0.0000, 0.0000), Li at (0.0000, 0.5000, 0.7367), Li at (0.5000, 0.5000, 0.5000), Cd at (0.0000, 0.5000, 0.2578), In at (0.5000, 0.5000, 0.0000) and Ge at (0.0000, 0.0000, 0.5000).

The density is 5111 kg/m3. The total energy comes out at -2.391 eV per atom.

=====

# 8
A plane-wave DFT calculation with GGA-PBE was carried out for Li2Cd2InGePd2 after structural relaxation.

It has space group P-4m2 (No. 115), with a = 4.5827 Å, b = 4.5827 Å, c = 6.4809 Å, α = 90.00°, β = 90.00° and γ = 90.00°. The asymmetric unit holds Li at (0.0000, 0.5000, 0.2329), Cd at (0.0000, 0.0000, 0.0000), Cd at (0.5000, 0.5000, 0.5000), In at (0.0000, 0.0000, 0.5000), Ge at (0.5000, 0.5000, 0.0000) and Pd at (0.0000, 0.5000, 0.7629).

The density is 7796 kg/m3. The total energy comes out at -3.328 eV per atom.